AlAgBi after structural relaxation. Source: the Alexandria database, functional PBE-GGA.

```
data_AlAgBi
_chemical_formula_sum 'Al2 Ag2 Bi2'
_cell_length_a 4.1857
_cell_length_b 4.1857
_cell_length_c 7.6911
_cell_angle_alpha 90.00
_cell_angle_beta 90.00
_cell_angle_gamma 90.00
_symmetry_space_group_name_H-M 'P 4/n m m'
_symmetry_Int_Tables_number 129
loop_
_symmetry_equiv_pos_as_xyz
'x,y,z'
'-x,-y,-z'
'-y+1/2,x,z'
'y+1/2,-x,-z'
'-x+1/2,-y+1/2,z'
'x+1/2,y+1/2,-z'
'y,-x+1/2,z'
'-y,x+1/2,-z'
'x+1/2,-y,-z'
'-x+1/2,y,z'
'-y,-x,-z'
'y,x,z'
'-x,y+1/2,-z'
'x,-y+1/2,z'
'y+1/2,x+1/2,-z'
'-y+1/2,-x+1/2,z'
loop_
_atom_site_label
_atom_site_type_symbol
_atom_site_fract_x
_atom_site_fract_y
_atom_site_fract_z
_atom_site_occupancy
Al1 Al 0.2500 0.7500 0.0000 1
Ag1 Ag 0.2500 0.2500 0.2236 1
Bi1 Bi 0.2500 0.2500 0.6253 1
```

Summary:
**Energy of formation**: 0.0575 eV/atom
**E above lowest polymorph**: 0.000 eV/atom

***

Na4In2H after structural relaxation. Source: the Alexandria database, functional PBE-GGA.

```
data_Na4In2H
_chemical_formula_sum 'Na8 In4 H2'
_cell_length_a 4.5159
_cell_length_b 4.5159
_cell_length_c 17.4644
_cell_angle_alpha 90.00
_cell_angle_beta 90.00
_cell_angle_gamma 90.00
_symmetry_space_group_name_H-M 'I 4/m m m'
_symmetry_Int_Tables_number 139
_symmetry_space_group_name_Hall '-I 4 2'
loop_
_atom_site_label
_atom_site_type_symbol
_atom_site_fract_x
_atom_site_fract_y
_atom_site_fract_z
_atom_site_occupancy
Na1 Na 0.0000 0.0000 0.1377 1
Na2 Na 0.0000 0.5000 0.0000 1
In1 In 0.0000 0.0000 0.3113 1
H1 H 0.0000 0.0000 0.0000 1
```

***

TbSc8Bi6 after structural relaxation. Source: the Alexandria database, functional PBE-GGA.

```
data_TbSc8Bi6
_chemical_formula_sum 'Tb3 Sc24 Bi18'
_cell_length_a 8.0246
_cell_length_b 8.0246
_cell_length_c 22.8935
_cell_angle_alpha 90.00
_cell_angle_beta 90.00
_cell_angle_gamma 120.00
_symmetry_space_group_name_H-M 'R -3'
_symmetry_Int_Tables_number 148
_symmetry_space_group_name_Hall '-R 3'
loop_
_atom_site_label
_atom_site_type_symbol
_atom_site_fract_x
_atom_site_fract_y
_atom_site_fract_z
_atom_site_occupancy
Tb1 Tb 0.0000 0.0000 0.0000 1
Sc1 Sc 0.0000 0.0000 0.3341 1
Sc2 Sc 0.0032 0.3203 0.1242 1
Bi1 Bi 0.0026 0.3492 0.9286 1
```

Summary:
**Energy of formation**: -0.4257 eV/atom

***

LiSc2AgTe4 after structural relaxation. Source: the Alexandria database, functional PBE-GGA.

```
data_LiSc2AgTe4
_chemical_formula_sum 'Li1 Sc2 Ag1 Te4'
_cell_length_a 7.2378
_cell_length_b 4.1925
_cell_length_c 7.4479
_cell_angle_alpha 90.00
_cell_angle_beta 109.15
_cell_angle_gamma 90.00
_symmetry_space_group_name_H-M 'P 1 2/m 1'
_symmetry_Int_Tables_number 10
_symmetry_space_group_name_Hall '-P 2y'
loop_
_atom_site_label
_atom_site_type_symbol
_atom_site_fract_x
_atom_site_fract_y
_atom_site_fract_z
_atom_site_occupancy
Li1 Li 0.0000 0.0000 0.0000 1
Sc1 Sc 0.0000 0.5000 0.5000 1
Sc2 Sc 0.5000 0.0000 0.5000 1
Ag1 Ag 0.5000 0.5000 0.0000 1
Te1 Te 0.2469 0.0000 0.7404 1
Te2 Te 0.2512 0.5000 0.2586 1
```

Summary:
**Uncorrected formation energy**: -0.945 eV/atom

***

no.,final energy (eV per atom)
1,-3.434
2,-1.975
3,-5.664
4,-4.695